This record from Alexandria describes HfFeO3 after structural relaxation. The functional is GGA+U.

Lattice parameters (Å, degrees): 3.282 5.348 6.522 90.00 90.00 90.00
Space group Pmmn (No. 59, origin choice 2)
One atom of each set of equivalent atoms:
Hf (0.250, 0.250, 0.112)
Fe (0.250, 0.750, 0.397)
O (0.250, 0.005, 0.848)
O (0.250, 0.250, 0.433)

DFT total energy: -8.606 eV per atom
total moment: 4.0 μB per formula unit